Entry from Alexandria via LeMat-Bulk: a geometry-optimized La2ZrRh structure (PBE).

- Offset from the most stable computed form: 0.122 eV per atom
- Total magnetic moment: 0.0 μB/f.u.

Lattice parameters (Å, degrees): 3.635 3.623 8.030 90.00 90.40 90.00
Sites, in units of the cell vectors:
La1 0.004 0.000 0.288
La2 0.996 0.000 0.712
Zr1 0.500 0.500 0.000
Rh1 0.500 0.500 0.500


Entry from Alexandria via LeMat-Bulk: a geometry-optimized La2ZrRh structure (PBE).

- Offset from the most stable computed form: 0.271 eV per atom
- Total magnetic moment: 0.2 μB/f.u.

Lattice parameters (Å, degrees): 5.124 5.124 5.124 60.00 60.00 60.00
Sites, in units of the cell vectors:
La1 0.000 0.000 0.000
La2 0.250 0.250 0.250
Zr1 0.750 0.750 0.750
Rh1 0.500 0.500 0.500


Entry from Alexandria via LeMat-Bulk: a geometry-optimized LaZr2Rh structure (PBE).

- Offset from the most stable computed form: 0.279 eV per atom
- Total magnetic moment: 0.0 μB/f.u.

Lattice parameters (Å, degrees): 5.815 5.815 3.229 99.51 99.51 121.04
Sites, in units of the cell vectors:
La1 0.000 0.000 0.000
Zr1 0.000 0.500 0.500
Zr2 0.500 0.000 0.500
Rh1 0.500 0.500 0.000


Entry from Alexandria via LeMat-Bulk: a geometry-optimized LaZr2Rh structure (PBE).

- Offset from the most stable computed form: 0.207 eV per atom
- Total magnetic moment: 0.0 μB/f.u.

Lattice parameters (Å, degrees): 9.505 9.505 9.505 21.21 21.21 21.21
Sites, in units of the cell vectors:
La1 0.000 0.000 0.000
Zr1 0.230 0.230 0.230
Zr2 0.770 0.770 0.770
Rh1 0.500 0.500 0.500


Entry from Alexandria via LeMat-Bulk: a geometry-optimized LaZr2Rh structure (PBE).

- Offset from the most stable computed form: 0.084 eV per atom
- Total magnetic moment: 0.0 μB/f.u.

Lattice parameters (Å, degrees): 5.942 5.942 5.552 116.25 116.25 33.20
Sites, in units of the cell vectors:
La1 0.000 0.000 0.000
Zr1 0.198 0.198 0.750
Zr2 0.407 0.407 0.405
Rh1 0.716 0.716 0.391


Entry from Alexandria via LeMat-Bulk: a geometry-optimized La3ZrRh structure (PBE).

- Offset from the most stable computed form: 0.718 eV per atom
- Total magnetic moment: 0.0 μB/f.u.

Lattice parameters (Å, degrees): 5.531 5.531 5.531 90.00 90.00 90.00
Sites, in units of the cell vectors:
La1 0.000 0.000 0.500
La2 0.000 0.500 0.000
La3 0.500 0.000 0.000
Zr1 0.000 0.000 0.000
Rh1 0.500 0.500 0.500


Entry from Alexandria via LeMat-Bulk: a geometry-optimized La2ZrRh structure (PBE).

- Offset from the most stable computed form: 0.291 eV per atom
- Total magnetic moment: 0.0 μB/f.u.

Lattice parameters (Å, degrees): 6.683 6.683 6.683 103.02 103.02 123.33
Sites, in units of the cell vectors:
La1 0.073 0.625 0.948
La2 0.375 0.323 0.448
La3 0.677 0.125 0.052
La4 0.875 0.927 0.552
Zr1 0.250 0.750 0.500
Zr2 0.500 0.500 0.000
Rh1 0.000 0.000 0.000
Rh2 0.750 0.250 0.500


Entry from Alexandria via LeMat-Bulk: a geometry-optimized LaZr2Rh structure (PBE).

- Offset from the most stable computed form: 0.278 eV per atom
- Total magnetic moment: 1.1 μB/f.u.

Lattice parameters (Å, degrees): 5.014 5.014 5.014 60.00 60.00 60.00
Sites, in units of the cell vectors:
La1 0.000 0.000 0.000
Zr1 0.500 0.500 0.500
Zr2 0.750 0.750 0.750
Rh1 0.250 0.250 0.250


Density of states at the Fermi level in states/eV/atom, matching the order above: 1.36, 1.83, 1.44, 1.43, 0.96, 0.90, 1.43, 1.68
Energy of formation in meV per atom, matching the order above: -166, -18, -24, -96, -219, 775, 3, -24